This record from Alexandria describes a PBEsol-optimized structure of YBPt2. The functional is meta-GGA SCAN.

Properties
- formation energy from the elements (eV/atom) = -0.002
- calculated volume (Å³ per cell) = 63.32

Cell: 4.4740 4.4740 4.4740 Å, 60.00 60.00 60.00°
Atoms (fractional coordinates):
1 Y 0.0000 0.0000 0.0000
2 B 0.5000 0.5000 0.5000
3 Pt 0.2500 0.2500 0.2500
4 Pt 0.7500 0.7500 0.7500